# GGA-PBE Ta3Au, relaxed
# ΔE to the lowest computed polymorph = 141 meV per atom
# Energy of formation from the pure elements = 89.5 meV per atom
# Space group = Cmmm, No. 65
# Size of the total moment = 0.00 μB/cell
data_Ta3Au
_chemical_formula_sum 'Ta3 Au1'
_cell_length_a 5.141
_cell_length_b 5.141
_cell_length_c 2.922
_cell_angle_alpha 90.00
_cell_angle_beta 90.00
_cell_angle_gamma 109.99
_space_group_name_H-M_alt 'P 1'
_space_group_IT_number 1
_space_group_name_Hall 'P 1'
loop_
_atom_site_label
_atom_site_fract_x
_atom_site_fract_y
_atom_site_fract_z
Au1 0.000 0.000 0.000
Ta1 0.000 0.500 0.500
Ta2 0.500 0.000 0.500
Ta3 0.500 0.500 0.000